DFT (PBE) results for a relaxed structure of BaLa3Zr.

```
data_BaLa3Zr
_symmetry_space_group_name_H-M 'P 1'
_symmetry_Int_Tables_number 1
_cell_length_a 5.9647
_cell_length_b 5.9647
_cell_length_c 5.9647
_cell_angle_alpha 90.00
_cell_angle_beta 90.00
_cell_angle_gamma 90.00
loop_
_symmetry_equiv_pos_as_xyz
'x,y,z'
loop_
_atom_site_label
_atom_site_type_symbol
_atom_site_fract_x
_atom_site_fract_y
_atom_site_fract_z
_atom_site_occupancy
Ba1 Ba 0.5000 0.5000 0.5000 1
Zr1 Zr 0.0000 0.0000 0.0000 1
La1 La 0.0000 0.5000 0.0000 1
La2 La 0.5000 0.0000 0.0000 1
La3 La 0.0000 0.0000 0.5000 1
```

## Properties
M_tot ... 0.00 μB per atom
Final energy ... -4.715 eV/atom
Calculated volume ... 212.2 Å³ per cell
Offset from the most stable computed form ... 0.000 eV per atom
Space-group type ... Pm-3m, No. 221
Formation energy ... 0.3358 eV per atom